! BaLaRh4 GGA-PBE optimized geometry; values from VASP
! formation enthalpy at 0 K	-0.389	eV/atom
! DOS(E_F)	7.79	states/eV per cell
! density	9.572	g/cm3
! SG	F-43m, No. 216
! E_tot	-6.432	eV per atom
! magnetic moment	0.000	μB/cell
&SYSTEM
  ibrav = 0, nat = 6, ntyp = 3
/
ATOMIC_SPECIES
Ba 137.33 Ba.upf
Rh 102.91 Rh.upf
La 138.91 La.upf
ATOMIC_POSITIONS crystal
Ba 0.250 0.250 0.250
Rh 0.625 0.625 0.625
Rh 0.625 0.625 0.124
Rh 0.625 0.124 0.625
Rh 0.124 0.625 0.625
La 0.000 0.000 0.000
CELL_PARAMETERS angstrom
-4.130 -2.675 -2.515
1.027 -4.634 -2.829
-1.731 -4.871 1.953